! TaSiAg2 SCAN single point on PBEsol structure; values from VASP
&SYSTEM
  ibrav = 0, nat = 8, ntyp = 3
/
ATOMIC_SPECIES
Ta 180.95 Ta.upf
Si 28.09 Si.upf
Ag 107.87 Ag.upf
ATOMIC_POSITIONS crystal
Ta 0.000 0.000 0.000
Ta 0.500 0.500 0.000
Si 0.000 0.500 0.228
Si 0.500 0.000 0.228
Ag 0.000 0.000 0.471
Ag 0.000 0.500 0.735
Ag 0.500 0.000 0.735
Ag 0.500 0.500 0.471
CELL_PARAMETERS angstrom
3.566 0.000 0.000
0.000 4.310 0.000
0.000 0.000 8.359
! ΔE_f (raw) = 0.136 eV per atom
! Raw total energy = -277.6 eV/cell
! Total magnetization = 0.00 μB/f.u.
! Density of states at the Fermi level = 2.39 states/eV/f.u.
! Space group = Cmm2 (35)